(1)
Entry from Alexandria: a crystal of NbHg3F6 relaxed with PBEsol (SCAN).

Computed properties:
D(E_F) ... 0.64 states/eV/cell
Total magnetic moment ... 0.0 μB per formula unit
Symmetry ... No. 162
ρ ... 8019 kg/m3
E_form (uncorrected) ... -2.17 eV per atom

a b c (Å): 5.0856 5.0856 7.4760
angles (deg): 90.00 90.00 120.00
With the nearest neighbours (Å) after each atom.
Fractional coordinates of all 10 atoms:
1 Hg 0.6667 0.3333 0.5000  6 Hg 2.94, 6 F 3.14
2 Hg 0.0000 0.0000 0.5000  6 Hg 2.94, 6 F 3.01
3 Hg 0.3333 0.6667 0.5000  6 Hg 2.94, 6 F 3.14
4 F 0.3045 0.0000 0.8459  1 Nb 1.93
5 F 0.0000 0.3045 0.8459  1 Nb 1.93
6 F 0.6955 0.0000 0.1541  1 Nb 1.93
7 F 0.6955 0.6955 0.8459  1 Nb 1.93
8 F 0.3045 0.3045 0.1541  1 Nb 1.93
9 F 0.0000 0.6955 0.1541  1 Nb 1.93
10 Nb 0.0000 0.0000 0.0000  6 F 1.93

---

(2)
Entry from Alexandria: a crystal of Nb2Hg3SO4F10 relaxed with PBEsol (SCAN).

Computed properties:
D(E_F) ... 0.00 states/eV/cell
Total magnetic moment ... 0.0 μB per formula unit
Symmetry ... No. 43
ρ ... 5396 kg/m3
E_form (uncorrected) ... -2.28 eV per atom

a b c (Å): 9.0593 9.0593 10.2799
angles (deg): 103.21 103.21 118.78
With the nearest neighbours (Å) after each atom.
Fractional coordinates of all 40 atoms:
1 Hg 0.5005 0.0005 0.5000  2 Hg 2.59
2 Hg 0.2013 0.4297 0.2017  1 O 2.28
3 Hg 0.6797 0.9513 0.7017  1 O 2.28
4 Hg 0.2496 0.9780 0.2983  1 O 2.28
5 Hg 0.2280 0.9996 0.7983  1 O 2.28
6 Hg 0.2505 0.2505 0.0000  2 Hg 2.59
7 F 0.1750 0.2536 0.4060  1 Nb 1.93
8 F 0.0155 0.1646 0.6027  1 Nb 1.90
9 F 0.4146 0.7655 0.1027  1 Nb 1.90
10 F 0.0190 0.5976 0.0940  1 Nb 1.93
11 F 0.5619 0.4127 0.3973  1 Nb 1.90
12 F 0.5036 0.9250 0.9060  1 Nb 1.93
13 F 0.3197 0.4627 0.8197  1 Nb 1.91
14 F 0.9448 0.8241 0.3693  1 Nb 1.92
15 F 0.4775 0.1064 0.1332  1 Nb 1.90
16 F 0.6627 0.3119 0.8973  1 Nb 1.90
17 F 0.3564 0.2275 0.6332  1 Nb 1.90
18 F 0.8476 0.7690 0.5940  1 Nb 1.93
19 F 0.7500 0.3930 0.6803  1 Nb 1.91
20 F 0.6430 0.5000 0.1803  1 Nb 1.91
21 F 0.0741 0.6948 0.8693  1 Nb 1.92
22 F 0.5943 0.7232 0.3668  1 Nb 1.90
23 F 0.7127 0.0697 0.3197  1 Nb 1.91
24 F 0.9732 0.3443 0.8668  1 Nb 1.90
25 F 0.8255 0.2049 0.1307  1 Nb 1.92
26 F 0.4549 0.5755 0.6307  1 Nb 1.92
27 O 0.1877 0.6029 0.3920  1 S 1.47
28 O 0.8529 0.9377 0.8920  1 S 1.47
29 O 0.7315 0.8571 0.0729  1 S 1.50
30 O 0.2109 0.7957 0.6080  1 S 1.47
31 O 0.1071 0.4815 0.5729  1 S 1.50
32 O 0.7842 0.6586 0.9271  1 S 1.50
33 O 0.0457 0.9609 0.1080  1 S 1.47
34 O 0.9086 0.5342 0.4271  1 S 1.50
35 S 0.8570 0.8570 0.0000  4 O 1.47-1.50
36 S 0.1070 0.6070 0.5000  4 O 1.47-1.50
37 Nb 0.6053 0.9925 0.1137  5 F 1.90-1.93, 1 O 2.08
38 Nb 0.2425 0.3553 0.6137  5 F 1.90-1.93, 1 O 2.08
39 Nb 0.7416 0.6289 0.3863  5 F 1.90-1.93, 1 O 2.08
40 Nb 0.8789 0.4916 0.8863  5 F 1.90-1.93, 1 O 2.08

---

(3)
Entry from Alexandria: a crystal of Nb2TlHgF relaxed with PBEsol (SCAN).

Computed properties:
D(E_F) ... 3.79 states/eV/cell
Total magnetic moment ... 0.4 μB per formula unit
Symmetry ... No. 123
ρ ... 8771 kg/m3
E_form (uncorrected) ... 1.08 eV per atom

a b c (Å): 4.3007 5.1811 5.1811
angles (deg): 90.00 90.00 90.00
With the nearest neighbours (Å) after each atom.
Fractional coordinates of all 5 atoms:
1 Hg 0.0000 0.0000 0.0000  2 F 2.15
2 Nb 0.0000 0.5000 0.0000  2 Hg 2.59
3 Nb 0.0000 0.0000 0.5000  2 Hg 2.59
4 F 0.5000 0.0000 0.0000  2 Hg 2.15
5 Tl 0.5000 0.5000 0.5000  8 Nb 3.37, 4 F 3.66

---

(4)
Entry from Alexandria: a crystal of Ni3HgF relaxed with PBEsol (SCAN).

Computed properties:
D(E_F) ... 2.65 states/eV/cell
Total magnetic moment ... 0.0 μB per formula unit
Symmetry ... No. 221
ρ ... 10516 kg/m3
E_form (uncorrected) ... 0.27 eV per atom

a b c (Å): 3.9681 3.9681 3.9681
angles (deg): 90.00 90.00 90.00
With the nearest neighbours (Å) after each atom.
Fractional coordinates of all 5 atoms:
1 Ni 0.5000 0.0000 0.0000  2 F 1.98
2 Ni 0.0000 0.0000 0.5000  2 F 1.98
3 Ni 0.0000 0.5000 0.0000  2 F 1.98
4 Hg 0.5000 0.5000 0.5000  12 Ni 2.81
5 F 0.0000 0.0000 0.0000  6 Ni 1.98

---

(5)
Entry from Alexandria: a crystal of Ni2Hg2OF6 relaxed with PBEsol (SCAN).

Computed properties:
D(E_F) ... 3.48 states/eV/cell
Total magnetic moment ... 3.9 μB per formula unit
Symmetry ... No. 227
ρ ... 7860 kg/m3
E_form (uncorrected) ... -1.77 eV per atom

a b c (Å): 7.2908 7.2908 7.2908
angles (deg): 60.00 60.00 60.00
With the nearest neighbours (Å) after each atom.
Fractional coordinates of all 22 atoms:
1 O 0.0000 0.0000 0.0000  4 Hg 2.23
2 O 0.2500 0.2500 0.2500  4 Hg 2.23
3 F 0.6981 0.6981 0.3019  2 Ni 1.97
4 F 0.5519 0.9481 0.9481  2 Ni 1.97
5 F 0.9481 0.5519 0.9481  2 Ni 1.97
6 F 0.9481 0.9481 0.5519  2 Ni 1.97
7 F 0.9481 0.5519 0.5519  2 Ni 1.97
8 F 0.5519 0.5519 0.9481  2 Ni 1.97
9 F 0.5519 0.9481 0.5519  2 Ni 1.97
10 F 0.6981 0.3019 0.3019  2 Ni 1.97
11 F 0.3019 0.6981 0.6981  2 Ni 1.97
12 F 0.6981 0.3019 0.6981  2 Ni 1.97
13 F 0.3019 0.3019 0.6981  2 Ni 1.97
14 F 0.3019 0.6981 0.3019  2 Ni 1.97
15 Hg 0.1250 0.1250 0.6250  2 O 2.23
16 Hg 0.6250 0.1250 0.1250  2 O 2.23
17 Hg 0.1250 0.1250 0.1250  2 O 2.23
18 Hg 0.1250 0.6250 0.1250  2 O 2.23
19 Ni 0.6250 0.6250 0.6250  6 F 1.97
20 Ni 0.6250 0.6250 0.1250  6 F 1.97
21 Ni 0.6250 0.1250 0.6250  6 F 1.97
22 Ni 0.1250 0.6250 0.6250  6 F 1.97

---

(6)
Entry from Alexandria: a crystal of Re2NiHgF relaxed with PBEsol (SCAN).

Computed properties:
D(E_F) ... 2.89 states/eV/cell
Total magnetic moment ... 3.7 μB per formula unit
Symmetry ... No. 123
ρ ... 14126 kg/m3
E_form (uncorrected) ... 1.25 eV per atom

a b c (Å): 3.5644 4.6324 4.6324
angles (deg): 90.00 90.00 90.00
With the nearest neighbours (Å) after each atom.
Fractional coordinates of all 5 atoms:
1 Re 0.0000 0.5000 0.0000  2 Ni 2.32
2 Re 0.0000 0.0000 0.5000  2 Ni 2.32
3 F 0.5000 0.0000 0.0000  2 Ni 1.78
4 Ni 0.0000 0.0000 0.0000  2 F 1.78
5 Hg 0.5000 0.5000 0.5000  8 Re 2.92

---

(7)
Entry from Alexandria: a crystal of Hg3OF relaxed with PBEsol (SCAN).

Computed properties:
D(E_F) ... 5.97 states/eV/cell
Total magnetic moment ... 1.7 μB per formula unit
Symmetry ... No. 221
ρ ... 9987 kg/m3
E_form (uncorrected) ... 0.42 eV per atom

a b c (Å): 4.7308 4.7308 4.7308
angles (deg): 90.00 90.00 90.00
With the nearest neighbours (Å) after each atom.
Fractional coordinates of all 5 atoms:
1 Hg 0.0000 0.0000 0.5000  2 F 2.37
2 Hg 0.0000 0.5000 0.0000  2 F 2.37
3 Hg 0.5000 0.0000 0.0000  2 F 2.37
4 O 0.5000 0.5000 0.5000  12 Hg 3.35
5 F 0.0000 0.0000 0.0000  6 Hg 2.37

---

(8)
Entry from Alexandria: a crystal of HgPdO2F relaxed with PBEsol (SCAN).

Computed properties:
D(E_F) ... 2.63 states/eV/cell
Total magnetic moment ... 0.0 μB per formula unit
Symmetry ... No. 123
ρ ... 9363 kg/m3
E_form (uncorrected) ... -0.39 eV per atom

a b c (Å): 3.9640 3.9640 4.0406
angles (deg): 90.00 90.00 90.00
With the nearest neighbours (Å) after each atom.
Fractional coordinates of all 5 atoms:
1 O 0.0000 0.5000 0.0000  2 Pd 1.98
2 O 0.5000 0.0000 0.0000  2 Pd 1.98
3 Pd 0.0000 0.0000 0.0000  4 O 1.98, 2 F 2.02
4 F 0.0000 0.0000 0.5000  2 Pd 2.02
5 Hg 0.5000 0.5000 0.5000  4 F 2.80, 8 O 2.83